VASP calculation (PBE) on a relaxed SiTe2Cl crystal.

Properties
Space-group type: P4/mmm, No. 123
Energy above the most stable polymorph in this dataset: 0.5743 eV/atom
Formation energy (no corrections): 0.488 eV/atom

Lattice parameters (Å, degrees): 4.9806 4.9806 3.8043 90.00 90.00 90.00
Last column: nearest neighbours and their distance in Å.
Atoms (fractional coordinates):
Cl  0.5000  0.0000  0.5000  8 Te 3.13
Si  0.0000  0.5000  0.5000  8 Te 3.13
Te  0.0000  0.0000  0.0000  4 Cl 3.13, 4 Si 3.13
Te  0.5000  0.5000  0.0000  4 Cl 3.13, 4 Si 3.13